# LaErAu3

A relaxed LaErAu3 crystal (GGA-PBE, the Alexandria database).

Unit cell a=3.7104 b=4.6144 c=14.3119 alpha=90.00 beta=97.45 gamma=90.00
Last column: nearest neighbours and their distance in Å.
Atoms (fractional coordinates):
La 0.0741 0.2500 0.1483  10 Au 3.25-3.42
La 0.9259 0.7500 0.8517  10 Au 3.25-3.42
Er 0.7927 0.2500 0.5854  7 Au 2.98-3.01
Er 0.2073 0.7500 0.4146  7 Au 2.98-3.01
Au 0.4730 0.2500 0.9461  3 Au 2.77-2.79
Au 0.6251 0.7500 0.2503  3 Au 2.79-2.91, 2 Er 2.98
Au 0.3749 0.2500 0.7497  3 Au 2.79-2.91, 2 Er 2.98
Au 0.5270 0.7500 0.0539  3 Au 2.77-2.79
Au 0.6879 0.2500 0.3758  2 Au 2.91, 5 Er 2.98-3.01
Au 0.3121 0.7500 0.6242  2 Au 2.91, 5 Er 2.98-3.01

Properties
DOS(E_F) (states/eV/cell): 8.73
Formation enthalpy at 0 K (eV per atom): -0.849
E (eV per cell): -47.136
Crystal system: orthorhombic

=====

# LaErAu4

A relaxed LaErAu4 crystal (GGA-PBE, the Alexandria database).

Unit cell a=5.2790 b=3.8310 c=7.7829 alpha=76.03 beta=99.77 gamma=68.42
Last column: nearest neighbours and their distance in Å.
Atoms (fractional coordinates):
Au 0.5096 0.8224 0.3406  5 Au 2.99-3.08, 3 Er 3.04-3.06, 2 La 3.20-3.22
Au 0.9856 0.3577 0.8007  3 Au 2.99-3.05, 2 Er 3.00, 3 La 3.15-3.19
Au 0.0171 0.6369 0.1956  3 Au 2.99-3.05, 2 Er 3.00, 3 La 3.15-3.19
Au 0.4929 0.1722 0.6556  5 Au 2.99-3.08, 3 Er 3.04-3.06, 2 La 3.20-3.22
La 0.5014 0.4972 0.9981  10 Au 3.15-3.22
Er 0.0012 0.9974 0.4982  10 Au 3.00-3.06

Properties
DOS(E_F) (states/eV/cell): 3.03
Formation enthalpy at 0 K (eV per atom): -0.812
Offset from the most stable computed form (eV per formula unit): 0.00
E (eV per cell): -27.469
Crystal system: triclinic

=====

- Which formula does entry 1 have?
  LaErAu3